# 1
Material: MgTiOs3
Method: DFT, PBE-GGA
State: optimized geometry

The structure in CIF format:
```
data_MgTiOs3
_symmetry_space_group_name_H-M 'P m -3 m'
_symmetry_Int_Tables_number 221
_symmetry_space_group_name_Hall '-P 4 2 3'
_cell_length_a 4.4166
_cell_length_b 4.4166
_cell_length_c 4.4166
_cell_angle_alpha 90.00
_cell_angle_beta 90.00
_cell_angle_gamma 90.00
loop_
_atom_site_label
_atom_site_type_symbol
_atom_site_fract_x
_atom_site_fract_y
_atom_site_fract_z
Mg1 Mg 0.0000 0.0000 0.0000
Ti1 Ti 0.5000 0.5000 0.5000
Os1 Os 0.0000 0.0000 0.5000
```

Calculated values
M_tot	0.00	μB per formula unit
ΔE to the lowest computed polymorph	1.812	eV/f.u.

***

# 2
Material: Mg2TiOs
Method: DFT, PBE-GGA
State: optimized geometry

The structure in CIF format:
```
data_Mg2TiOs
_symmetry_space_group_name_H-M 'I -4 2 d'
_symmetry_Int_Tables_number 122
_symmetry_space_group_name_Hall 'I -4 2bw'
_cell_length_a 3.7815
_cell_length_b 3.7815
_cell_length_c 19.9370
_cell_angle_alpha 90.00
_cell_angle_beta 90.00
_cell_angle_gamma 90.00
loop_
_atom_site_label
_atom_site_type_symbol
_atom_site_fract_x
_atom_site_fract_y
_atom_site_fract_z
Mg1 Mg 0.2395 0.2500 0.1250
Ti1 Ti 0.0000 0.0000 0.5000
Os1 Os 0.0000 0.0000 0.0000
```

Calculated values
M_tot	0.00	μB per formula unit
ΔE to the lowest computed polymorph	0.362	eV/f.u.

***

# 3
Material: MgTi2Os2
Method: DFT, PBE-GGA
State: optimized geometry

The structure in CIF format:
```
data_MgTi2Os2
_symmetry_space_group_name_H-M 'P 4/m b m'
_symmetry_Int_Tables_number 127
_symmetry_space_group_name_Hall '-P 4 2ab'
_cell_length_a 7.4066
_cell_length_b 7.4066
_cell_length_c 3.0129
_cell_angle_alpha 90.00
_cell_angle_beta 90.00
_cell_angle_gamma 90.00
loop_
_atom_site_label
_atom_site_type_symbol
_atom_site_fract_x
_atom_site_fract_y
_atom_site_fract_z
Mg1 Mg 0.0000 0.0000 0.0000
Ti1 Ti 0.1494 0.3506 0.5000
Os1 Os 0.1451 0.6451 0.0000
```

Calculated values
M_tot	0.00	μB per formula unit

***

# 4
Material: Mg2TlOs
Method: DFT, PBE-GGA
State: optimized geometry

The structure in CIF format:
```
data_Mg2TlOs
_symmetry_space_group_name_H-M 'R -3 m'
_symmetry_Int_Tables_number 166
_symmetry_space_group_name_Hall '-R 3 2"'
_cell_length_a 3.1012
_cell_length_b 3.1012
_cell_length_c 27.8890
_cell_angle_alpha 90.00
_cell_angle_beta 90.00
_cell_angle_gamma 120.00
loop_
_atom_site_label
_atom_site_type_symbol
_atom_site_fract_x
_atom_site_fract_y
_atom_site_fract_z
Mg1 Mg 0.0000 0.0000 0.2406
Tl1 Tl 0.0000 0.0000 0.0000
Os1 Os 0.0000 0.0000 0.5000
```

Calculated values
M_tot	0.08	μB per formula unit
ΔE to the lowest computed polymorph	0.391	eV/f.u.

***

# 5
Material: Mg2TlOs
Method: DFT, PBE-GGA
State: optimized geometry

The structure in CIF format:
```
data_Mg2TlOs
_symmetry_space_group_name_H-M 'I m m m'
_symmetry_Int_Tables_number 71
_symmetry_space_group_name_Hall '-I 2 2'
_cell_length_a 3.4557
_cell_length_b 4.5871
_cell_length_c 9.3657
_cell_angle_alpha 90.00
_cell_angle_beta 90.00
_cell_angle_gamma 90.00
loop_
_atom_site_label
_atom_site_type_symbol
_atom_site_fract_x
_atom_site_fract_y
_atom_site_fract_z
Mg1 Mg 0.0000 0.0000 0.2297
Tl1 Tl 0.0000 0.5000 0.0000
Os1 Os 0.0000 0.5000 0.5000
```

Calculated values
M_tot	0.00	μB per formula unit
ΔE to the lowest computed polymorph	0.360	eV/f.u.

***

# 6
Material: MgTlOs
Method: DFT, PBE-GGA
State: optimized geometry

The structure in CIF format:
```
data_MgTlOs
_symmetry_space_group_name_H-M 'I m m 2'
_symmetry_Int_Tables_number 44
_symmetry_space_group_name_Hall 'I 2 -2'
_cell_length_a 2.8943
_cell_length_b 4.1880
_cell_length_c 9.0996
_cell_angle_alpha 90.00
_cell_angle_beta 90.00
_cell_angle_gamma 90.00
loop_
_atom_site_label
_atom_site_type_symbol
_atom_site_fract_x
_atom_site_fract_y
_atom_site_fract_z
Mg1 Mg 0.0000 0.0000 0.0000
Tl1 Tl 0.0000 0.0000 0.6853
Os1 Os 0.0000 0.0000 0.3597
```

Calculated values
M_tot	0.00	μB per formula unit
ΔE to the lowest computed polymorph	0.100	eV/f.u.

***

The energy of formation from the pure elements results, record by record, are as follows: 1830; 371; -225; 325; 317; 568 meV per atom.